A plane-wave DFT calculation with GGA-PBE was carried out for CsMg3Pb after structural relaxation.

## Properties
- Energy of formation: 1.2211 eV per atom
- Density of states at the Fermi level: 1.352 states/eV/atom

Lattice parameters (Å, degrees): 6.358 6.358 6.358 90.00 90.00 90.00
Fractional coordinates of all 5 atoms:
Cs1 0.000 0.000 0.000
Mg1 0.000 0.000 0.500
Mg2 0.000 0.500 0.000
Mg3 0.500 0.000 0.000
Pb1 0.500 0.500 0.500